DFT (PBE) results for a relaxed structure of MnGe2Se4.

a b c (Å): 3.733 3.733 13.634
angles (deg): 82.13 82.13 60.00
Last column: magnetic moment on the atom in μB.
Atoms (fractional coordinates):
1 Ge 0.244 0.244 0.268  -0.02
2 Ge 0.756 0.756 0.732  -0.02
3 Se 0.367 0.367 0.898  -0.07
4 Se 0.124 0.124 0.628  -0.05
5 Se 0.633 0.633 0.102  -0.07
6 Se 0.876 0.876 0.372  -0.05
7 Mn 0.000 0.000 0.000  3.45

Output
Formation energy (no corrections) in eV/f.u.: -2.30
Total magnetic moment in μB per cell: 3.30
Raw total energy in eV per cell: -34.6